Computed, not measured: crystalline K2SiSb at its relaxed geometry at the PBE level of DFT.

* size of the total moment: 0.000 μB/f.u.
* formation energy without anion corrections: 164 meV/atom
* VASP energy: -22.2 eV/cell
* Fermi-level density of states: 0.571 states/eV per atom
* energy above the lowest structure with this stoichiometry: 133 kJ/mol of formula units

Unit cell a=6.596 b=10.944 c=3.192 alpha=90.00 beta=90.00 gamma=90.00
Space group Cmmm (No. 65)
Unique sites:
K1 0.250 0.250 0.000
Si1 0.000 0.000 0.500
Sb1 0.000 0.500 0.500

=====

Computed, not measured: crystalline KSiSb4 at its relaxed geometry at the PBE level of DFT.

* size of the total moment: 0.002 μB/f.u.
* formation energy without anion corrections: 310 meV/atom
* VASP energy: -84.6 eV/cell
* Fermi-level density of states: 0.556 states/eV per atom

Unit cell a=8.930 b=8.930 c=8.930 alpha=90.00 beta=90.00 gamma=90.00
Space group F-43m (No. 216)
Unique sites:
K1 0.000 0.000 0.000
Si1 0.250 0.250 0.250
Sb1 0.123 0.123 0.623

=====

Computed, not measured: crystalline K6SiSb4 at its relaxed geometry at the PBE level of DFT.

* size of the total moment: 2.110 μB/f.u.
* formation energy without anion corrections: -309 meV/atom
* VASP energy: -63.8 eV/cell
* Fermi-level density of states: 0.813 states/eV per atom

Unit cell a=11.3036 b=11.3036 c=8.1394 alpha=90.00 beta=90.00 gamma=120.00
Space group P6_3mc (No. 186)
Unique sites:
K1 0.0414 0.5207 0.0000
K2 0.1479 0.2957 0.2835
Si1 0.3333 0.6667 0.6410
Sb1 0.2021 0.4042 0.7117
Sb2 0.3333 0.6667 0.3209

=====

Computed, not measured: crystalline K2SiSb at its relaxed geometry at the PBE level of DFT.

* size of the total moment: 0.000 μB/f.u.
* formation energy without anion corrections: -163 meV/atom
* VASP energy: -24.8 eV/cell
* Fermi-level density of states: 0.467 states/eV per atom
* energy above the lowest structure with this stoichiometry: 7 kJ/mol of formula units

Unit cell a=4.066 b=5.718 c=11.554 alpha=90.00 beta=90.00 gamma=90.00
Space group Imm2 (No. 44)
Unique sites:
K1 0.000 0.000 0.000
K2 0.000 0.500 0.199
Si1 0.000 0.000 0.433
Sb1 0.000 0.500 0.789

=====

Computed, not measured: crystalline K2SiSb at its relaxed geometry at the PBE level of DFT.

* size of the total moment: 0.000 μB/f.u.
* formation energy without anion corrections: 307 meV/atom
* VASP energy: -21.0 eV/cell
* Fermi-level density of states: 0.555 states/eV per atom
* energy above the lowest structure with this stoichiometry: 189 kJ/mol of formula units

Unit cell a=11.262 b=3.137 c=7.022 alpha=90.00 beta=95.34 gamma=90.00
Space group C2/m (No. 12)
Unique sites:
K1 0.249 0.000 0.254
Si1 0.000 0.000 0.500
Sb1 0.000 0.500 0.000

=====

Computed, not measured: crystalline K2SiSb at its relaxed geometry at the PBE level of DFT.

* size of the total moment: 0.000 μB/f.u.
* formation energy without anion corrections: -182 meV/atom
* VASP energy: -12.5 eV/cell
* Fermi-level density of states: 0.546 states/eV per atom
* energy above the lowest structure with this stoichiometry: 0 kJ/mol of formula units

Unit cell a=5.497 b=4.150 c=6.817 alpha=90.00 beta=113.71 gamma=90.00
Space group Pm (No. 6)
Unique sites:
K1 0.000 0.000 0.000
K2 0.286 0.500 0.571
Si1 0.568 0.500 0.140
Sb1 0.702 0.000 0.401

=====

Computed, not measured: crystalline K3SiSb at its relaxed geometry at the PBE level of DFT.

* size of the total moment: 2.000 μB/f.u.
* formation energy without anion corrections: 429 meV/atom
* VASP energy: -10.7 eV/cell
* Fermi-level density of states: 1.251 states/eV per atom
* energy above the lowest structure with this stoichiometry: 0 kJ/mol of formula units

Unit cell a=6.676 b=6.676 c=6.676 alpha=90.00 beta=90.00 gamma=90.00
Space group Pm-3m (No. 221)
Unique sites:
K1 0.000 0.000 0.500
Si1 0.500 0.500 0.500
Sb1 0.000 0.000 0.000

=====

Computed, not measured: crystalline KSi4Sb at its relaxed geometry at the PBE level of DFT.

* size of the total moment: 0.000 μB/f.u.
* formation energy without anion corrections: 471 meV/atom
* VASP energy: -96.3 eV/cell
* Fermi-level density of states: 0.659 states/eV per atom

Unit cell a=7.804 b=7.804 c=7.804 alpha=90.00 beta=90.00 gamma=90.00
Space group F-43m (No. 216)
Unique sites:
K1 0.000 0.000 0.000
Si1 0.122 0.122 0.378
Sb1 0.250 0.250 0.750

=====

Computed, not measured: crystalline K2SiSb at its relaxed geometry at the PBE level of DFT.

* size of the total moment: 0.003 μB/f.u.
* formation energy without anion corrections: 29 meV/atom
* VASP energy: -11.6 eV/cell
* Fermi-level density of states: 0.589 states/eV per atom
* energy above the lowest structure with this stoichiometry: 81 kJ/mol of formula units

Unit cell a=3.787 b=3.787 c=10.265 alpha=90.00 beta=90.00 gamma=90.00
Space group P4mm (No. 99)
Unique sites:
K1 0.000 0.000 0.000
K2 0.500 0.500 0.427
Si1 0.500 0.500 0.768
Sb1 0.000 0.000 0.668

=====

Computed, not measured: crystalline K2SiSb at its relaxed geometry at the PBE level of DFT.

* size of the total moment: 0.285 μB/f.u.
* formation energy without anion corrections: 341 meV/atom
* VASP energy: -31.1 eV/cell
* Fermi-level density of states: 0.669 states/eV per atom
* energy above the lowest structure with this stoichiometry: 202 kJ/mol of formula units

Unit cell a=3.5449 b=3.5449 c=34.2140 alpha=90.00 beta=90.00 gamma=120.00
Space group R-3m (No. 166, hexagonal axes)
Unique sites:
K1 0.0000 0.0000 0.2482
Si1 0.0000 0.0000 0.5000
Sb1 0.0000 0.0000 0.0000

=====

Computed, not measured: crystalline KSiSb3 at its relaxed geometry at the PBE level of DFT.

* size of the total moment: 0.000 μB/f.u.
* formation energy without anion corrections: 281 meV/atom
* VASP energy: -17.5 eV/cell
* Fermi-level density of states: 0.870 states/eV per atom
* energy above the lowest structure with this stoichiometry: 0 kJ/mol of formula units

Unit cell a=5.406 b=5.406 c=5.406 alpha=90.00 beta=90.00 gamma=90.00
Space group Pm-3m (No. 221)
Unique sites:
K1 0.000 0.000 0.000
Si1 0.500 0.500 0.500
Sb1 0.000 0.500 0.500

=====

Computed, not measured: crystalline K2SiSb at its relaxed geometry at the PBE level of DFT.

* size of the total moment: 0.000 μB/f.u.
* formation energy without anion corrections: -72 meV/atom
* VASP energy: -48.1 eV/cell
* Fermi-level density of states: 0.169 states/eV per atom
* energy above the lowest structure with this stoichiometry: 43 kJ/mol of formula units

Unit cell a=9.316 b=9.760 c=7.662 alpha=90.00 beta=105.50 gamma=90.00
Space group P2_1/c (No. 14)
Unique sites:
K1 0.222 0.087 0.179
K2 0.236 0.627 0.105
Si1 0.444 0.613 0.515
Sb1 0.457 0.166 0.629

=====

Computed, not measured: crystalline K2SiSb at its relaxed geometry at the PBE level of DFT.

* size of the total moment: 0.000 μB/f.u.
* formation energy without anion corrections: 137 meV/atom
* VASP energy: -11.2 eV/cell
* Fermi-level density of states: 0.461 states/eV per atom
* energy above the lowest structure with this stoichiometry: 123 kJ/mol of formula units

Unit cell a=4.536 b=4.536 c=5.488 alpha=90.00 beta=90.00 gamma=90.00
Space group P4/mmm (No. 123)
Unique sites:
K1 0.000 0.500 0.000
Si1 0.000 0.000 0.500
Sb1 0.500 0.500 0.500

=====

Computed, not measured: crystalline K2SiSb at its relaxed geometry at the PBE level of DFT.

* size of the total moment: 0.000 μB/f.u.
* formation energy without anion corrections: 191 meV/atom
* VASP energy: -22.0 eV/cell
* Fermi-level density of states: 0.419 states/eV per atom
* energy above the lowest structure with this stoichiometry: 144 kJ/mol of formula units

Unit cell a=5.304 b=5.304 c=8.843 alpha=90.00 beta=90.00 gamma=90.00
Space group I-4m2 (No. 119)
Unique sites:
K1 0.000 0.000 0.000
K2 0.000 0.500 0.250
Si1 0.000 0.000 0.500
Sb1 0.000 0.500 0.750

=====

Computed, not measured: crystalline KSiSb3 at its relaxed geometry at the PBE level of DFT.

* size of the total moment: 0.047 μB/f.u.
* formation energy without anion corrections: 1645 meV/atom
* VASP energy: -10.7 eV/cell
* Fermi-level density of states: 0.958 states/eV per atom
* energy above the lowest structure with this stoichiometry: 658 kJ/mol of formula units

Unit cell a=5.742 b=5.742 c=5.742 alpha=90.00 beta=90.00 gamma=90.00
Space group Pm-3m (No. 221)
Unique sites:
K1 0.000 0.000 0.000
Si1 0.500 0.500 0.500
Sb1 0.000 0.000 0.500

=====

Computed, not measured: crystalline K2SiSb at its relaxed geometry at the PBE level of DFT.

* size of the total moment: 0.008 μB/f.u.
* formation energy without anion corrections: 110 meV/atom
* VASP energy: -45.2 eV/cell
* Fermi-level density of states: 0.348 states/eV per atom
* energy above the lowest structure with this stoichiometry: 113 kJ/mol of formula units

Unit cell a=12.916 b=12.916 c=5.251 alpha=90.00 beta=90.00 gamma=90.00
Space group I-42d (No. 122)
Unique sites:
K1 0.010 0.250 0.125
Si1 0.000 0.000 0.000
Sb1 0.000 0.000 0.500

=====

Computed, not measured: crystalline KY2SiSb at its relaxed geometry at the PBE level of DFT.

* size of the total moment: 0.000 μB/f.u.
* formation energy without anion corrections: 340 meV/atom
* VASP energy: -21.9 eV/cell
* Fermi-level density of states: 0.285 states/eV per atom

Unit cell a=5.720 b=5.720 c=5.899 alpha=90.00 beta=90.00 gamma=90.00
Space group P4/mmm (No. 123)
Unique sites:
K1 0.000 0.000 0.000
Y1 0.000 0.500 0.500
Si1 0.500 0.500 0.000
Sb1 0.000 0.000 0.500

=====

Computed, not measured: crystalline K3Sm3SbTe8 at its relaxed geometry at the PBE level of DFT.

* size of the total moment: 0.000 μB/f.u.
* formation energy without anion corrections: -1103 meV/atom
* VASP energy: -126.5 eV/cell
* Fermi-level density of states: 0.423 states/eV per atom

Unit cell a=15.595 b=8.984 c=9.918 alpha=90.00 beta=121.68 gamma=90.00
Space group C2/m (No. 12)
Unique sites:
K1 0.000 0.000 0.000
K2 0.250 0.250 0.000
Sm1 0.000 0.500 0.500
Sm2 0.250 0.250 0.500
Sb1 0.000 0.000 0.500
Te1 0.013 0.244 0.294
Te2 0.231 0.000 0.706
Te3 0.238 0.500 0.713

=====

Computed, not measured: crystalline K2SmSbTe4 at its relaxed geometry at the PBE level of DFT.

* size of the total moment: 0.000 μB/f.u.
* formation energy without anion corrections: -964 meV/atom
* VASP energy: -31.3 eV/cell

Unit cell a=7.928 b=4.543 c=8.638 alpha=90.00 beta=107.58 gamma=90.00
Space group P2/m (No. 10)
Unique sites:
K1 0.000 0.000 0.000
K2 0.500 0.500 0.000
Sm1 0.000 0.500 0.500
Sb1 0.500 0.000 0.500
Te1 0.241 0.000 0.709
Te2 0.268 0.500 0.293

=====

Computed, not measured: crystalline K3SmSb2Te6 at its relaxed geometry at the PBE level of DFT.

* size of the total moment: 0.000 μB/f.u.
* formation energy without anion corrections: -819 meV/atom
* VASP energy: -89.9 eV/cell

Unit cell a=7.874 b=13.640 c=8.655 alpha=90.00 beta=107.66 gamma=90.00
Space group C2/m (No. 12)
Unique sites:
K1 0.000 0.000 0.000
K2 0.000 0.333 0.000
Sm1 0.000 0.500 0.500
Sb1 0.000 0.167 0.500
Te1 0.231 0.000 0.707
Te2 0.238 0.331 0.707

=====

Computed, not measured: crystalline K3SnSb at its relaxed geometry at the PBE level of DFT.

* size of the total moment: 0.000 μB/f.u.
* formation energy without anion corrections: -176 meV/atom
* VASP energy: -49.2 eV/cell
* Fermi-level density of states: 0.574 states/eV per atom
* energy above the lowest structure with this stoichiometry: 0 kJ/mol of formula units

Unit cell a=10.825 b=9.156 c=9.520 alpha=90.00 beta=90.00 gamma=90.00
Space group Ima2 (No. 46)
Unique sites:
K1 0.041 0.235 0.000
K2 0.250 0.587 0.218
Sn1 0.250 0.537 0.859
Sb1 0.250 0.559 0.568

=====

Computed, not measured: crystalline KSnSb2 at its relaxed geometry at the PBE level of DFT.

* size of the total moment: 0.000 μB/f.u.
* formation energy without anion corrections: -132 meV/atom
* VASP energy: -13.9 eV/cell
* Fermi-level density of states: 0.631 states/eV per atom

Unit cell a=4.336 b=4.336 c=7.219 alpha=90.00 beta=90.00 gamma=90.00
Space group P4/mmm (No. 123)
Unique sites:
K1 0.000 0.000 0.000
Sn1 0.000 0.000 0.500
Sb1 0.500 0.500 0.308

=====

Computed, not measured: crystalline KSnSb at its relaxed geometry at the PBE level of DFT.

* size of the total moment: 0.000 μB/f.u.
* formation energy without anion corrections: -286 meV/atom
* VASP energy: -40.3 eV/cell
* Fermi-level density of states: 0.016 states/eV per atom
* energy above the lowest structure with this stoichiometry: 17 kJ/mol of formula units

Unit cell a=7.941 b=6.706 c=8.704 alpha=90.00 beta=91.49 gamma=90.00
Space group P2_1/c (No. 14)
Unique sites:
K1 0.164 0.099 0.300
Sn1 0.498 0.213 0.061
Sb1 0.291 0.601 0.170

=====

Computed, not measured: crystalline K2SnSb at its relaxed geometry at the PBE level of DFT.

* size of the total moment: 0.000 μB/f.u.
* formation energy without anion corrections: -36 meV/atom
* VASP energy: -41.9 eV/cell
* Fermi-level density of states: 0.969 states/eV per atom
* energy above the lowest structure with this stoichiometry: 80 kJ/mol of formula units

Unit cell a=8.245 b=8.245 c=8.245 alpha=90.00 beta=90.00 gamma=90.00
Space group Fm-3m (No. 225)
Unique sites:
K1 0.250 0.250 0.250
Sn1 0.000 0.000 0.000
Sb1 0.000 0.000 0.500

=====

Computed, not measured: crystalline KSn3Sb3 at its relaxed geometry at the PBE level of DFT.

* size of the total moment: 0.000 μB/f.u.
* formation energy without anion corrections: 18 meV/atom
* VASP energy: -50.7 eV/cell
* Fermi-level density of states: 0.612 states/eV per atom
* energy above the lowest structure with this stoichiometry: 73 kJ/mol of formula units

Unit cell a=8.428 b=8.428 c=8.428 alpha=90.00 beta=90.00 gamma=90.00
Space group Pm-3n (No. 223)
Unique sites:
K1 0.000 0.000 0.000
Sn1 0.000 0.250 0.500
Sb1 0.000 0.500 0.250